DFT (GGA+U) results for a relaxed structure of Li2NiIrO4.

a b c (Å): 4.3026 4.3026 5.0539
angles (deg): 115.19 115.19 90.00
Last column: nearest neighbours and their distance in Å.
Positions (direct):
Li1 0.1871 0.6871 0.5000  6 O 2.02-2.15
Li2 0.6871 0.1871 0.5000  6 O 2.02-2.15
Ni1 0.4373 0.4373 0.0000  6 O 2.09-2.15
O1 0.9372 0.4372 0.0000  2 Li 2.02, 2 Ni 2.15, 2 Ir 2.15
O2 0.4372 0.9372 0.0000  2 Li 2.02, 2 Ni 2.15, 2 Ir 2.15
O3 0.6957 0.6957 0.5171  1 Ir 1.95, 1 Ni 2.09, 4 Li 2.15
O4 0.1786 0.1786 0.4829  1 Ir 1.95, 1 Ni 2.09, 4 Li 2.15
Ir1 0.9372 0.9372 0.0000  6 O 1.95-2.15

Output
As for the density: 7.31 g cm⁻³. The calculated total energy comes out at -5.5060 eV per atom. The density of states at the Fermi level comes out at 0.46 states/eV per atom.